# 1
Computed, not measured: an optimized crystal structure of NaGeIN2 at the PBE level of DFT.

Cell lengths 4.5697, 4.5697, 5.9695 Å; angles 90.00, 90.00, 90.00 degrees
Positions (direct):
I (0.0000, 0.0000, 0.5000)
N (0.5000, 0.0000, 0.0000)
Na (0.0000, 0.0000, 0.0000)
Ge (0.5000, 0.5000, 0.5000)
N (0.0000, 0.5000, 0.0000)

- calculated volume (Å³/cell) = 125
- formation energy (no corrections) (eV/f.u.) = 9.0
- M_tot (μB per cell) = 4.0
- space-group type = P4/mmm (123)
- excess energy over the best structure of this formula in the dataset (eV per atom) = 0.9936

---

# 2
Computed, not measured: an optimized crystal structure of AlFeHg2 at the PBE level of DFT.

Cell lengths 7.4488, 7.4488, 5.9435 Å; angles 51.20, 51.20, 90.00 degrees
Positions (direct):
Hg (0.3750, 0.3580, 0.7500)
Fe (0.7500, 0.2500, 0.5000)
Hg (0.8750, 0.8920, 0.7500)
Al (0.2500, 0.7500, 0.5000)
Hg (0.6420, 0.1250, 0.2500)
Fe (0.0000, 0.0000, 0.0000)
Al (0.5000, 0.5000, 0.0000)
Hg (0.1080, 0.6250, 0.2500)

- calculated volume (Å³/cell) = 153
- energy relative to the elements (eV per atom) = 0.676
- M_tot (μB per cell) = 0.0
- space-group type = I-42d (122)

---

# 3
Computed, not measured: an optimized crystal structure of LaSmSn2 at the PBE level of DFT.

Cell lengths 3.5566, 3.5566, 9.1146 Å; angles 90.00, 90.00, 90.00 degrees
Positions (direct):
Sn (0.0000, 0.0000, 0.2432)
Sn (0.0000, 0.0000, 0.7568)
Sm (0.5000, 0.5000, 0.0000)
La (0.5000, 0.5000, 0.5000)

- calculated volume (Å³/cell) = 115
- energy relative to the elements (eV per atom) = -0.701
- M_tot (μB per cell) = 0.0
- space-group type = P4/mmm (123)

---

# 4
Computed, not measured: an optimized crystal structure of Sc2ReRu at the PBE level of DFT.

Cell lengths 3.2147, 3.2148, 6.5359 Å; angles 90.00, 90.00, 90.00 degrees
Positions (direct):
Sc (0.0000, 0.0000, 0.9934)
Ru (0.5000, 0.5000, 0.7500)
Re (0.5000, 0.5000, 0.2500)
Sc (0.0000, 0.0000, 0.5066)

- calculated volume (Å³/cell) = 68
- energy relative to the elements (eV per atom) = -0.178
- M_tot (μB per cell) = 0.0
- space-group type = P4/mmm (123)

---

Respective ρ values: 3.34, 10.52, 7.59, 9.27 g/cm3.